## CsGa2Sn6 (GGA-PBE)

Data for an optimized crystal structure of CsGa2Sn6.

The formation energy comes out at -1.0 kJ per mole of atoms. The density is 6.2 g cm⁻³.

a = 4.843 Å, b = 4.843 Å, c = 11.262 Å
α = 90.00°, β = 90.00°, γ = 90.00°
Element x y z (fractional)
Cs  0.000  0.000  0.000
Ga  0.500  0.500  0.135
Ga  0.500  0.500  0.865
Sn  0.000  0.500  0.290
Sn  0.500  0.000  0.290
Sn  0.000  0.500  0.710
Sn  0.500  0.000  0.710
Sn  0.500  0.500  0.500
Sn  0.000  0.000  0.500